Below is a relaxed structure of LuHfRuRh, with properties calculated at the PBE-GGA level. Values from VASP.

Cell and atoms, written as Quantum ESPRESSO input:
```
&SYSTEM
  ibrav = 0, nat = 4, ntyp = 4
/
ATOMIC_SPECIES
Rh 102.91 Rh.upf
Lu 174.97 Lu.upf
Hf 178.49 Hf.upf
Ru 101.07 Ru.upf
CELL_PARAMETERS angstrom
4.657 0.000 0.000
2.328 4.033 0.000
2.328 1.344 3.802
ATOMIC_POSITIONS crystal
Rh 0.750 0.750 0.750
Lu 0.500 0.500 0.500
Hf 0.000 0.000 0.000
Ru 0.250 0.250 0.250
```

Values from the calculation:
- DFT formation energy (meV/atom) = -830

=====

Below is a relaxed structure of CoRu2Au, with properties calculated at the PBE-GGA level. Values from VASP.

Cell and atoms, written as Quantum ESPRESSO input:
```
&SYSTEM
  ibrav = 0, nat = 4, ntyp = 3
/
ATOMIC_SPECIES
Au 196.97 Au.upf
Co 58.93 Co.upf
Ru 101.07 Ru.upf
CELL_PARAMETERS angstrom
5.430 -0.004 0.002
2.943 4.563 -0.002
-3.635 -3.292 2.330
ATOMIC_POSITIONS crystal
Au 0.750 0.250 0.500
Co 0.250 0.750 0.500
Ru 0.033 0.033 0.000
Ru 0.467 0.467 0.000
```

Values from the calculation:
- DFT formation energy (meV/atom) = 388

=====

Below is a relaxed structure of LaYCr4, with properties calculated at the PBE-GGA level. Values from VASP.

Cell and atoms, written as Quantum ESPRESSO input:
```
&SYSTEM
  ibrav = 0, nat = 6, ntyp = 3
/
ATOMIC_SPECIES
La 138.91 La.upf
Y 88.91 Y.upf
Cr 52.00 Cr.upf
CELL_PARAMETERS angstrom
-3.042 -4.155 -1.028
-4.036 -1.145 3.158
-4.927 0.703 -1.676
ATOMIC_POSITIONS crystal
La 0.750 0.750 0.750
Y 0.000 0.000 0.000
Cr 0.873 0.376 0.376
Cr 0.376 0.376 0.873
Cr 0.376 0.873 0.376
Cr 0.376 0.376 0.376
```

Values from the calculation:
- DFT formation energy (meV/atom) = 469

=====

Below is a relaxed structure of Ca6Au2N, with properties calculated at the PBE-GGA level. Values from VASP.

Cell and atoms, written as Quantum ESPRESSO input:
```
&SYSTEM
  ibrav = 0, nat = 18, ntyp = 3
/
ATOMIC_SPECIES
Ca 40.08 Ca.upf
Au 196.97 Au.upf
N 14.01 N.upf
CELL_PARAMETERS angstrom
-5.423 -1.557 -3.897
2.817 -6.922 -1.153
-4.473 -3.147 7.965
ATOMIC_POSITIONS crystal
Ca 0.892 0.972 0.262
Ca 0.842 0.714 0.553
Ca 0.796 0.665 0.949
Ca 0.704 0.165 0.551
Ca 0.658 0.214 0.947
Ca 0.608 0.472 0.238
Ca 0.108 0.028 0.738
Ca 0.158 0.286 0.447
Ca 0.204 0.335 0.051
Ca 0.296 0.835 0.449
Ca 0.342 0.786 0.053
Ca 0.392 0.528 0.762
Au 0.966 0.405 0.750
Au 0.534 0.905 0.750
Au 0.466 0.095 0.250
Au 0.034 0.595 0.250
N 0.500 0.500 0.000
N 0.000 0.000 0.500
```

Values from the calculation:
- energy relative to the elements, uncorrected (meV/atom) = -672